TmAgSeO | GGA-PBE | optimized geometry

Unit cell a=6.7570 b=7.2039 c=6.3777 alpha=90.00 beta=102.78 gamma=90.00
Fractional positions:
Tm 0.0505 0.1294 0.2209
Tm 0.0505 0.3706 0.7209
Tm 0.9495 0.6294 0.2791
Tm 0.9495 0.8706 0.7791
Ag 0.4499 0.7074 0.5028
Ag 0.4499 0.7926 0.0028
Ag 0.5501 0.2074 0.9972
Ag 0.5501 0.2926 0.4972
Se 0.2997 0.0512 0.6569
Se 0.2997 0.4488 0.1569
Se 0.7003 0.5512 0.8431
Se 0.7003 0.9488 0.3431
O 0.0791 0.6558 0.6123
O 0.0791 0.8442 0.1123
O 0.9209 0.1558 0.8877
O 0.9209 0.3442 0.3877

## Properties
SG = P2_1/c
uncorrected energy = -5.73 eV/atom
volume = 18.92 Å³/atom